Entry 1:
The following is a DFT calculation (PBEsol) of a relaxed Hf2OsPd crystal.

Output
E_form, eV per atom: -0.680
DOS at the Fermi energy, states/eV/cell: 11.07
Crystal system: cubic

a b c (Å): 6.4933 6.4933 6.4933
angles (deg): 90.00 90.00 90.00
Sites, in units of the cell vectors:
Hf1 0.2500 0.2500 0.2500
Hf2 0.2500 0.2500 0.7500
Hf3 0.2500 0.7500 0.2500
Hf4 0.2500 0.7500 0.7500
Hf5 0.7500 0.2500 0.2500
Hf6 0.7500 0.2500 0.7500
Hf7 0.7500 0.7500 0.2500
Hf8 0.7500 0.7500 0.7500
Os1 0.0000 0.0000 0.0000
Os2 0.0000 0.5000 0.5000
Os3 0.5000 0.0000 0.5000
Os4 0.5000 0.5000 0.0000
Pd1 0.0000 0.0000 0.5000
Pd2 0.0000 0.5000 0.0000
Pd3 0.5000 0.0000 0.0000
Pd4 0.5000 0.5000 0.5000


Entry 2:
The following is a DFT calculation (PBEsol) of a relaxed Hf2OsPdW crystal.

Output
E_form, eV per atom: 1.385
DOS at the Fermi energy, states/eV/cell: 5.85
Crystal system: tetragonal

a b c (Å): 4.8212 4.8212 4.7205
angles (deg): 90.00 90.00 90.00
Sites, in units of the cell vectors:
Hf1 0.0000 0.5000 0.0000
Hf2 0.5000 0.0000 0.0000
Os1 0.0000 0.0000 0.0000
Pd1 0.0000 0.0000 0.5000
W1 0.5000 0.5000 0.5000


Entry 3:
The following is a DFT calculation (PBEsol) of a relaxed HfOsPt2 crystal.

Output
E_form, eV per atom: -0.200
DOS at the Fermi energy, states/eV/cell: 25.56
Crystal system: cubic

a b c (Å): 6.3623 6.3623 6.3623
angles (deg): 90.00 90.00 90.00
Sites, in units of the cell vectors:
Hf1 0.0000 0.0000 0.0000
Hf2 0.0000 0.5000 0.5000
Hf3 0.5000 0.0000 0.5000
Hf4 0.5000 0.5000 0.0000
Os1 0.0000 0.0000 0.5000
Os2 0.0000 0.5000 0.0000
Os3 0.5000 0.0000 0.0000
Os4 0.5000 0.5000 0.5000
Pt1 0.2500 0.2500 0.2500
Pt2 0.2500 0.2500 0.7500
Pt3 0.2500 0.7500 0.2500
Pt4 0.2500 0.7500 0.7500
Pt5 0.7500 0.2500 0.2500
Pt6 0.7500 0.2500 0.7500
Pt7 0.7500 0.7500 0.2500
Pt8 0.7500 0.7500 0.7500


Entry 4:
The following is a DFT calculation (PBEsol) of a relaxed HfTeOsPt2 crystal.

Output
DOS at the Fermi energy, states/eV/cell: 4.87
Crystal system: tetragonal
Formation energy (no corrections), eV/atom: 1.06

a b c (Å): 4.7433 4.7433 5.0359
angles (deg): 90.00 90.00 90.00
Sites, in units of the cell vectors:
Hf1 0.0000 0.0000 0.0000
Te1 0.5000 0.5000 0.0000
Os1 0.5000 0.5000 0.5000
Pt1 0.0000 0.5000 0.5000
Pt2 0.5000 0.0000 0.5000